Sr3TlO PBE optimized geometry; energy relative to the elements, uncorrected = -1.218 eV/atom; space-group type = C2/c; density of states at the Fermi level = 2.7 states/eV per cell
1.0
7.4429 0.0232 -0.0625
-0.9221 7.0352 -0.0563
3.7491 1.4963 6.2546
Sr Tl O
6 2 2
Cartesian
6.3943 6.9457 3.1960
3.9269 7.3895 5.5094
6.0060 3.3129 2.7538
5.2376 3.9870 6.0084
2.7419 5.0495 2.8999
8.5019 2.2505 5.8617
2.8666 1.4869 2.7434
8.3776 5.8126 6.0186
4.8350 5.3332 4.0589
6.4090 1.9659 4.7029